Record 1
Material: Nb2TlPSe
Method: DFT, PBE-GGA
State: optimized geometry

a = 4.7607 Å, b = 4.7607 Å, c = 4.8765 Å
α = 90.00°, β = 90.00°, γ = 90.00°
Last column: nearest neighbours and their distance in Å.
Element x y z (fractional)
Nb 0.0000 0.5000 0.0000  2 P 2.38
Nb 0.5000 0.0000 0.0000  2 P 2.38
Tl 0.0000 0.0000 0.5000  4 Se 3.37, 8 Nb 3.41
P 0.5000 0.5000 0.0000  4 Nb 2.38, 2 Se 2.44
Se 0.5000 0.5000 0.5000  2 P 2.44

Computed properties:
Total magnetic moment (μB per cell): 0.0
ΔE_f (raw) (meV/atom): 548



Record 2
Material: NbSi3P
Method: DFT, PBE-GGA
State: optimized geometry

a = 4.4461 Å, b = 4.4461 Å, c = 4.4461 Å
α = 90.00°, β = 90.00°, γ = 90.00°
Last column: nearest neighbours and their distance in Å.
Element x y z (fractional)
Nb 0.0000 0.0000 0.0000  12 Si 3.14
Si 0.0000 0.5000 0.5000  2 P 2.22
Si 0.5000 0.0000 0.5000  2 P 2.22
Si 0.5000 0.5000 0.0000  2 P 2.22
P 0.5000 0.5000 0.5000  6 Si 2.22

Computed properties:
Total magnetic moment (μB per cell): 0.0
Excess energy over the best structure of this formula in the dataset (meV per atom): 0
ΔE_f (raw) (meV/atom): 936



Record 3
Material: NbSiP2
Method: DFT, PBE-GGA
State: optimized geometry

a = 6.3793 Å, b = 6.3793 Å, c = 6.3793 Å
α = 127.00°, β = 127.00°, γ = 78.25°
Last column: nearest neighbours and their distance in Å.
Element x y z (fractional)
Nb 0.0000 0.0000 0.0000  4 P 2.46
Nb 0.7500 0.2500 0.5000  4 P 2.46
Si 0.2500 0.7500 0.5000  4 P 2.27
Si 0.5000 0.5000 0.0000  4 P 2.27
P 0.1533 0.6250 0.0283  2 Si 2.27, 2 Nb 2.46
P 0.3750 0.4033 0.5283  2 Si 2.27, 2 Nb 2.46
P 0.5967 0.1250 0.9717  2 Si 2.27, 2 Nb 2.46
P 0.8750 0.8467 0.4717  2 Si 2.27, 2 Nb 2.46

Computed properties:
Total magnetic moment (μB per cell): 0.0
ΔE_f (raw) (meV/atom): -5



Record 4
Material: NbSi3P
Method: DFT, PBE-GGA
State: optimized geometry

a = 4.8697 Å, b = 4.8697 Å, c = 4.8697 Å
α = 90.00°, β = 90.00°, γ = 90.00°
Last column: nearest neighbours and their distance in Å.
Element x y z (fractional)
Nb 0.0000 0.0000 0.0000  6 Si 2.43
Si 0.0000 0.0000 0.5000  2 Nb 2.43
Si 0.0000 0.5000 0.0000  2 Nb 2.43
Si 0.5000 0.0000 0.0000  2 Nb 2.43
P 0.5000 0.5000 0.5000  12 Si 3.44

Computed properties:
Total magnetic moment (μB per cell): 0.0
Excess energy over the best structure of this formula in the dataset (meV per atom): 188
ΔE_f (raw) (meV/atom): 1125



Record 5
Material: NbSiP3
Method: DFT, PBE-GGA
State: optimized geometry

a = 4.4374 Å, b = 4.4374 Å, c = 4.4374 Å
α = 90.00°, β = 90.00°, γ = 90.00°
Last column: nearest neighbours and their distance in Å.
Element x y z (fractional)
Nb 0.0000 0.0000 0.0000  12 P 3.14
Si 0.5000 0.5000 0.5000  6 P 2.22
P 0.0000 0.5000 0.5000  2 Si 2.22
P 0.5000 0.0000 0.5000  2 Si 2.22
P 0.5000 0.5000 0.0000  2 Si 2.22

Computed properties:
Total magnetic moment (μB per cell): 0.0
Excess energy over the best structure of this formula in the dataset (meV per atom): 75
ΔE_f (raw) (meV/atom): 794



Record 6
Material: Nb8Si2P
Method: DFT, PBE-GGA
State: optimized geometry

a = 8.1626 Å, b = 8.1626 Å, c = 5.9092 Å
α = 109.17°, β = 109.17°, γ = 31.00°
Last column: nearest neighbours and their distance in Å.
Element x y z (fractional)
Nb 0.0249 0.0249 0.2664  1 Si 2.58, 2 P 2.64, 2 Nb 2.78
Nb 0.2222 0.2222 0.1167  3 Si 2.64-2.83, 5 Nb 2.87-2.92
Nb 0.3418 0.3418 0.6561  1 P 2.62, 3 Si 2.68-2.77, 3 Nb 2.84-2.92
Nb 0.4177 0.4177 0.2827  1 P 2.44, 2 Si 2.70
Nb 0.5823 0.5823 0.7173  1 P 2.44, 2 Si 2.70
Nb 0.6582 0.6582 0.3439  1 P 2.62, 3 Si 2.68-2.77, 3 Nb 2.84-2.92
Nb 0.7778 0.7778 0.8833  3 Si 2.64-2.83, 5 Nb 2.87-2.92
Nb 0.9751 0.9751 0.7336  1 Si 2.58, 2 P 2.64, 2 Nb 2.78
Si 0.1698 0.1698 0.6412  9 Nb 2.58-2.83
Si 0.8302 0.8302 0.3588  9 Nb 2.58-2.83
P 0.5000 0.5000 0.0000  8 Nb 2.44-2.64

Computed properties:
Total magnetic moment (μB per cell): 0.0
ΔE_f (raw) (meV/atom): -288



What is the total magnetic moment in the first record?
0.0 μB per cell